# ScOs2Au

A relaxed structure of ScOs2Au (PBE-GGA, Alexandria).

Cell and atoms, written as extended XYZ:
```
4
Lattice="-0.5298 2.9234 -4.1264 0.3475 -2.5397 -4.3913 -2.6429 -0.6328 4.2975" Properties=species:S:1:pos:R:3 pbc="T T T"
Sc -1.1933 -1.4903 -2.1763
Os 0.0000 0.0000 0.0000
Au -1.6320 1.2412 -2.0439
Os -0.0912 0.1918 -4.2589
```

volume	65.4	Å³/cell
space-group type	No. 139
polymorph energy (0 for the lowest one)	279	meV/atom
total DFT energy (no corrections)	-7.834	eV per atom
formation energy from the elements	183	meV/atom
magnetization	0.00	μB/f.u.